No. 1
The following is a DFT calculation (PBE-GGA) of crystalline LaTb2Cd4 at its relaxed geometry.

Cell and atoms, written as extended XYZ:
```
7
Lattice="-2.652 2.652 7.484 2.652 -2.652 7.484 2.652 2.652 -7.484" Properties=species:S:1:pos:R:3 pbc="T T T"
La 0.000 0.000 0.000
Tb 0.000 0.000 3.817
Tb 0.000 0.000 11.150
Cd 2.652 0.000 1.880
Cd 2.652 0.000 5.603
Cd 0.000 2.652 1.880
Cd 0.000 2.652 5.603
```

Volume: 210.6 Å³ per cell
Density: 7.147 g/cm³
Space-group type: I4/mmm (139)
Energy of formation: -97 kJ/mol of formula units
Density of states at the Fermi level: 5.17 states/eV/cell

***

No. 2
The following is a DFT calculation (PBE-GGA) of crystalline ErTe4 at its relaxed geometry.

Cell and atoms, written as extended XYZ:
```
5
Lattice="5.763 0.000 0.000 0.000 5.763 0.000 0.000 0.000 5.763" Properties=species:S:1:pos:R:3 pbc="T T T"
Er 0.000 0.000 0.000
Te 0.000 0.000 2.882
Te 0.000 2.882 0.000
Te 2.882 0.000 0.000
Te 2.882 2.882 2.882
```

Volume: 191.4 Å³ per cell
Density: 5.878 g/cm³
Space-group type: Pm-3m (221)
Raw formation energy: 0.004 eV per atom
Density of states at the Fermi level: 6.48 states/eV/cell

***

No. 3
The following is a DFT calculation (PBE-GGA) of crystalline KNiCl2 at its relaxed geometry.

Cell and atoms, written as extended XYZ:
```
8
Lattice="-3.620 3.620 3.606 3.620 -3.620 3.606 3.620 3.620 -3.606" Properties=species:S:1:pos:R:3 pbc="T T T"
K 0.000 0.000 0.000
K 0.000 3.620 1.803
Ni 3.620 0.000 1.803
Ni 0.000 0.000 3.606
Cl 1.810 -1.110 2.704
Cl 2.510 1.810 0.901
Cl 1.810 4.729 -0.901
Cl 1.110 1.810 4.507
```

Excess energy over the best structure of this formula in the dataset: 0 meV/atom
Volume: 189.0 Å³ per cell
Density: 2.965 g/cm³
Space-group type: I-42d (122)
Raw formation energy: -0.966 eV per atom
Density of states at the Fermi level: 2.83 states/eV/cell

***

No. 4
The following is a DFT calculation (PBE-GGA) of crystalline PrTm8 at its relaxed geometry.

Cell and atoms, written as extended XYZ:
```
9
Lattice="-5.275 5.275 2.479 5.275 -5.275 2.479 5.275 5.275 -2.479" Properties=species:S:1:pos:R:3 pbc="T T T"
Pr 0.000 0.000 0.000
Tm 3.531 0.000 0.000
Tm 7.019 0.000 0.000
Tm 3.502 3.502 0.000
Tm 1.773 -1.773 2.479
Tm 0.000 3.531 0.000
Tm 0.000 7.019 0.000
Tm -1.773 1.773 2.479
Tm 1.773 1.773 2.479
```

Volume: 275.9 Å³ per cell
Density: 8.982 g/cm³
Space-group type: I4/mmm (139)
Energy of formation: 26 kJ/mol of formula units
Density of states at the Fermi level: 12.87 states/eV/cell